[1]
This record from Alexandria describes a relaxed BeNb4Fe crystal. The functional is PBE.

The value obtained for the density of states at the Fermi level is 1.161 states/eV per atom. The calculation puts the calculated density at 7.84 g cm⁻³. The value obtained for the calculated formation energy is -98 meV per atom. As for the raw total energy: -106.11 eV for the cell shown.

Cell lengths 6.158, 6.158, 4.875 Å; angles 90.00, 90.00, 90.00 degrees
Space group I422 (No. 97)
Unique sites:
Be1 0.000 0.000 0.000 x2
Nb1 0.162 0.338 0.750 x8
Fe1 0.000 0.000 0.500 x2

***

[2]
This record from Alexandria describes a relaxed BeNb2Fe crystal. The functional is PBE.

The value obtained for the density of states at the Fermi level is 0.885 states/eV per atom. The calculation puts the calculated density at 7.34 g cm⁻³. The value obtained for the calculated formation energy is 11 meV per atom. As for the raw total energy: -32.28 eV for the cell shown.

Cell lengths 3.121, 3.121, 5.823 Å; angles 90.00, 90.00, 90.00 degrees
Space group P4/mmm (No. 123)
Unique sites:
Be1 0.000 0.000 0.000 x1
Nb1 0.500 0.500 0.246 x2
Fe1 0.000 0.000 0.500 x1

***

[3]
This record from Alexandria describes a relaxed Be15Nb2Fe2 crystal. The functional is PBE.

The value obtained for the density of states at the Fermi level is 0.417 states/eV per atom. The calculation puts the calculated density at 4.14 g cm⁻³. The value obtained for the calculated formation energy is -224 meV per atom. As for the raw total energy: -291.67 eV for the cell shown.

Cell lengths 7.4805, 7.4805, 10.7531 Å; angles 90.00, 90.00, 120.00 degrees
Space group R-3m (No. 166, hexagonal axes)
Unique sites:
Be1 0.0000 0.2870 0.0000 x18
Be2 0.0000 0.5000 0.5000 x9
Be3 0.0016 0.5008 0.1554 x18
Nb1 0.0000 0.0000 0.3420 x6
Fe1 0.0000 0.0000 0.1026 x6

***

[4]
This record from Alexandria describes a relaxed Be9NbFe2 crystal. The functional is PBE.

The value obtained for the density of states at the Fermi level is 0.385 states/eV per atom. The calculation puts the calculated density at 4.35 g cm⁻³. The value obtained for the calculated formation energy is -212 meV per atom. As for the raw total energy: -189.22 eV for the cell shown.

Cell lengths 4.3075, 4.3075, 20.3487 Å; angles 90.00, 90.00, 120.00 degrees
Space group R-3m (No. 166, hexagonal axes)
Unique sites:
Be1 0.0000 0.0000 0.0000 x3
Be2 0.0000 0.0000 0.1665 x6
Be3 0.0047 0.5023 0.4146 x18
Nb1 0.0000 0.0000 0.5000 x3
Fe1 0.0000 0.0000 0.3556 x6

***

[5]
This record from Alexandria describes a relaxed Be4NbFe crystal. The functional is PBE.

The value obtained for the density of states at the Fermi level is 0.451 states/eV per atom. The calculation puts the calculated density at 5.21 g cm⁻³. The value obtained for the calculated formation energy is -241 meV per atom. As for the raw total energy: -139.52 eV for the cell shown.

Cell lengths 6.177, 6.177, 6.177 Å; angles 90.00, 90.00, 90.00 degrees
Space group F-43m (No. 216)
Unique sites:
Be1 0.125 0.125 0.125 x16
Nb1 0.250 0.250 0.750 x4
Fe1 0.000 0.000 0.500 x4

***

[6]
This record from Alexandria describes a relaxed BeNb2Fe3 crystal. The functional is PBE.

The value obtained for the density of states at the Fermi level is 0.705 states/eV per atom. The calculation puts the calculated density at 7.89 g cm⁻³. The value obtained for the calculated formation energy is -210 meV per atom. As for the raw total energy: -151.55 eV for the cell shown.

Cell lengths 4.7736, 4.7736, 11.5888 Å; angles 90.00, 90.00, 120.00 degrees
Space group R-3m (No. 166, hexagonal axes)
Unique sites:
Be1 0.0000 0.0000 0.0000 x3
Nb1 0.0000 0.0000 0.3753 x6
Fe1 0.0000 0.5000 0.5000 x9

***

[7]
This record from Alexandria describes a relaxed Be5NbFe crystal. The functional is PBE.

The value obtained for the density of states at the Fermi level is 0.489 states/eV per atom. The calculation puts the calculated density at 4.83 g cm⁻³. The value obtained for the calculated formation energy is -210 meV per atom. As for the raw total energy: -154.52 eV for the cell shown.

Cell lengths 7.034, 4.272, 8.873 Å; angles 90.00, 90.00, 90.00 degrees
Space group Pnma (No. 62)
Unique sites:
Be1 0.045 0.250 0.107 x4
Be2 0.064 0.510 0.313 x8
Be3 0.088 0.750 0.516 x4
Be4 0.191 0.750 0.751 x4
Nb1 0.231 0.750 0.066 x4
Fe1 0.138 0.250 0.865 x4

***

[8]
This record from Alexandria describes a relaxed BeNb3Fe crystal. The functional is PBE.

The value obtained for the energy relative to the lowest polymorph listed for this composition is 0.0000 eV/atom. The value obtained for the density of states at the Fermi level is 2.159 states/eV per atom. The calculation puts the calculated density at 6.91 g cm⁻³. The value obtained for the calculated formation energy is 868 meV per atom. As for the raw total energy: -38.06 eV for the cell shown.

Cell lengths 4.354, 4.354, 4.354 Å; angles 90.00, 90.00, 90.00 degrees
Space group Pm-3m (No. 221)
Unique sites:
Be1 0.000 0.000 0.000 x1
Nb1 0.000 0.000 0.500 x3
Fe1 0.500 0.500 0.500 x1

***

[9]
This record from Alexandria describes a relaxed BeNb3Fe crystal. The functional is PBE.

The value obtained for the energy relative to the lowest polymorph listed for this composition is 0.0436 eV/atom. The value obtained for the density of states at the Fermi level is 0.661 states/eV per atom. The calculation puts the calculated density at 6.04 g cm⁻³. The value obtained for the calculated formation energy is 911 meV per atom. As for the raw total energy: -37.84 eV for the cell shown.

Cell lengths 4.554, 4.554, 4.554 Å; angles 90.00, 90.00, 90.00 degrees
Space group Pm-3m (No. 221)
Unique sites:
Be1 0.000 0.000 0.000 x1
Nb1 0.000 0.500 0.500 x3
Fe1 0.500 0.500 0.500 x1

***

[10]
This record from Alexandria describes a relaxed BeNbFeNi crystal. The functional is PBE.

The value obtained for the density of states at the Fermi level is 0.760 states/eV per atom. The calculation puts the calculated density at 7.41 g cm⁻³. The value obtained for the calculated formation energy is -100 meV per atom. As for the raw total energy: -113.76 eV for the cell shown.

Cell lengths 5.789, 5.789, 5.789 Å; angles 90.00, 90.00, 90.00 degrees
Space group F-43m (No. 216)
Unique sites:
Be1 0.000 0.000 0.000 x4
Nb1 0.000 0.000 0.500 x4
Fe1 0.250 0.250 0.250 x4
Ni1 0.250 0.250 0.750 x4

***

[11]
This record from Alexandria describes a relaxed Be2Nb2FeNi5 crystal. The functional is PBE.

The value obtained for the density of states at the Fermi level is 0.859 states/eV per atom. The calculation puts the calculated density at 7.86 g cm⁻³. The value obtained for the calculated formation energy is -185 meV per atom. As for the raw total energy: -133.62 eV for the cell shown.

Cell lengths 8.435, 8.435, 3.286 Å; angles 90.00, 90.00, 90.00 degrees
Space group P4/mbm (No. 127)
Unique sites:
Be1 0.115 0.385 0.000 x4
Nb1 0.181 0.681 0.000 x4
Fe1 0.000 0.000 0.000 x2
Ni1 0.000 0.500 0.500 x2
Ni2 0.062 0.208 0.500 x8

***

[12]
This record from Alexandria describes a relaxed BeNbFeRe2 crystal. The functional is PBE.

The value obtained for the density of states at the Fermi level is 0.794 states/eV per atom. The calculation puts the calculated density at 12.68 g cm⁻³. The value obtained for the calculated formation energy is 372 meV per atom. As for the raw total energy: -45.29 eV for the cell shown.

Cell lengths 4.245, 4.245, 3.855 Å; angles 90.00, 90.00, 90.00 degrees
Space group P4/mmm (No. 123)
Unique sites:
Be1 0.000 0.000 0.000 x1
Nb1 0.500 0.500 0.500 x1
Fe1 0.000 0.000 0.500 x1
Re1 0.000 0.500 0.000 x2

***

[13]
This record from Alexandria describes a relaxed Be2Nb2FeRu5 crystal. The functional is PBE.

The value obtained for the density of states at the Fermi level is 0.580 states/eV per atom. The calculation puts the calculated density at 9.54 g cm⁻³. The value obtained for the calculated formation energy is -253 meV per atom. As for the raw total energy: -169.93 eV for the cell shown.

Cell lengths 9.270, 9.270, 3.098 Å; angles 90.00, 90.00, 90.00 degrees
Space group P4/mbm (No. 127)
Unique sites:
Be1 0.123 0.377 0.000 x4
Nb1 0.175 0.675 0.000 x4
Fe1 0.000 0.000 0.000 x2
Ru1 0.000 0.500 0.500 x2
Ru2 0.074 0.205 0.500 x8

***

[14]
This record from Alexandria describes a relaxed Be2Nb2Fe5Ru crystal. The functional is PBE.

The value obtained for the density of states at the Fermi level is 1.037 states/eV per atom. The calculation puts the calculated density at 8.07 g cm⁻³. The value obtained for the calculated formation energy is -75 meV per atom. As for the raw total energy: -159.87 eV for the cell shown.

Cell lengths 8.461, 8.461, 3.360 Å; angles 90.00, 90.00, 90.00 degrees
Space group P4/mbm (No. 127)
Unique sites:
Be1 0.115 0.385 0.000 x4
Nb1 0.179 0.679 0.000 x4
Fe1 0.000 0.500 0.500 x2
Fe2 0.065 0.215 0.500 x8
Ru1 0.000 0.000 0.000 x2

***

[15]
This record from Alexandria describes a relaxed BeNbFe2S crystal. The functional is PBE.

Its formation energy without anion corrections is 1.657 eV/atom. The value obtained for the density of states at the Fermi level is 1.106 states/eV per atom. The calculation puts the calculated density at 4.33 g cm⁻³. As for the raw total energy: -26.57 eV for the cell shown.

Cell lengths 4.567, 4.567, 4.520 Å; angles 90.00, 90.00, 90.00 degrees
Space group P4/mmm (No. 123)
Unique sites:
Be1 0.000 0.000 0.000 x1
Nb1 0.000 0.000 0.500 x1
Fe1 0.000 0.500 0.500 x2
S1 0.500 0.500 0.000 x1

***

[16]
This record from Alexandria describes a relaxed Sc2Be2NbFe5 crystal. The functional is PBE.

The value obtained for the density of states at the Fermi level is 0.946 states/eV per atom. The calculation puts the calculated density at 6.17 g cm⁻³. The value obtained for the calculated formation energy is -138 meV per atom. As for the raw total energy: -147.75 eV for the cell shown.

Cell lengths 8.864, 8.864, 3.287 Å; angles 90.00, 90.00, 90.00 degrees
Space group P4/mbm (No. 127)
Unique sites:
Sc1 0.176 0.324 0.000 x4
Be1 0.119 0.619 0.000 x4
Nb1 0.000 0.000 0.000 x2
Fe1 0.000 0.500 0.500 x2
Fe2 0.067 0.784 0.500 x8

***

[17]
This record from Alexandria describes a relaxed Be2Nb2Fe5Si crystal. The functional is PBE.

Its formation energy without anion corrections is -0.253 eV/atom. The value obtained for the density of states at the Fermi level is 0.857 states/eV per atom. The calculation puts the calculated density at 7.52 g cm⁻³. As for the raw total energy: -155.72 eV for the cell shown.

Cell lengths 8.719, 8.719, 2.970 Å; angles 90.00, 90.00, 90.00 degrees
Space group P4/mbm (No. 127)
Unique sites:
Be1 0.122 0.378 0.000 x4
Nb1 0.175 0.675 0.000 x4
Fe1 0.000 0.500 0.500 x2
Fe2 0.065 0.207 0.500 x8
Si1 0.000 0.000 0.000 x2

***

[18]
This record from Alexandria describes a relaxed TaBe2Nb2Fe5 crystal. The functional is PBE.

The value obtained for the density of states at the Fermi level is 0.747 states/eV per atom. The calculation puts the calculated density at 9.20 g cm⁻³. The value obtained for the calculated formation energy is -194 meV per atom. As for the raw total energy: -167.39 eV for the cell shown.

Cell lengths 8.842, 8.842, 3.066 Å; angles 90.00, 90.00, 90.00 degrees
Space group P4/mbm (No. 127)
Unique sites:
Ta1 0.000 0.000 0.000 x2
Be1 0.120 0.380 0.000 x4
Nb1 0.174 0.674 0.000 x4
Fe1 0.000 0.500 0.500 x2
Fe2 0.070 0.215 0.500 x8

***

[19]
This record from Alexandria describes a relaxed Be2NbFeTe crystal. The functional is PBE.

Its formation energy without anion corrections is 1.373 eV/atom. The value obtained for the density of states at the Fermi level is 0.711 states/eV per atom. The calculation puts the calculated density at 5.10 g cm⁻³. As for the raw total energy: -22.26 eV for the cell shown.

Cell lengths 4.591, 4.591, 4.550 Å; angles 90.00, 90.00, 90.00 degrees
Space group P4/mmm (No. 123)
Unique sites:
Be1 0.000 0.500 0.000 x2
Nb1 0.000 0.000 0.000 x1
Fe1 0.000 0.000 0.500 x1
Te1 0.500 0.500 0.500 x1

***

[20]
This record from Alexandria describes a relaxed TiBe2NbFe crystal. The functional is PBE.

The value obtained for the density of states at the Fermi level is 1.597 states/eV per atom. The calculation puts the calculated density at 4.33 g cm⁻³. The value obtained for the calculated formation energy is 1753 meV per atom. As for the raw total energy: -25.11 eV for the cell shown.

Cell lengths 4.317, 4.317, 4.419 Å; angles 90.00, 90.00, 90.00 degrees
Space group P4/mmm (No. 123)
Unique sites:
Ti1 0.000 0.000 0.000 x1
Be1 0.000 0.500 0.000 x2
Nb1 0.000 0.000 0.500 x1
Fe1 0.500 0.500 0.500 x1